# LaThIn4

An optimized crystal structure of LaThIn4 (PBE-GGA, Alexandria).

Values from the calculation:
Symmetry = F-43m, No. 216
N(E_F) = 0.792 states/eV per atom
ΔE to the lowest computed polymorph = 45 meV/atom

```
LaThIn4
1.0
6.125 0.000 0.000
3.062 5.304 0.000
3.062 1.768 5.001
La In Th
1 4 1
Direct
0.250 0.250 0.250
0.625 0.625 0.625
0.625 0.124 0.625
0.124 0.625 0.625
0.625 0.625 0.124
0.000 0.000 0.000
```



# LaThIn2

An optimized crystal structure of LaThIn2 (PBE-GGA, Alexandria).

Values from the calculation:
Symmetry = P4/mmm, No. 123
N(E_F) = 0.913 states/eV per atom
Total energy = -4.8306 eV per atom

```
LaThIn2
1.0
-0.959 2.931 3.397
-4.332 1.236 -2.290
-2.378 -3.686 2.509
In Th La
2 1 1
Direct
0.000 0.000 0.500
0.000 0.500 0.000
0.500 0.000 0.000
0.500 0.500 0.500
```



# La4ThIn

An optimized crystal structure of La4ThIn (PBE-GGA, Alexandria).

Values from the calculation:
Symmetry = P2/m, No. 10
N(E_F) = 1.344 states/eV per atom
Total energy = -5.1104 eV per atom

```
La4ThIn
1.0
-0.240 3.666 -0.692
-8.448 -1.168 -3.269
-4.462 1.762 10.869
La In Th
8 2 2
Direct
0.500 0.046 0.671
0.500 0.954 0.329
0.000 0.250 0.182
0.500 0.500 0.000
0.000 0.750 0.818
0.500 0.454 0.670
0.500 0.546 0.330
0.500 0.000 0.000
0.000 0.250 0.861
0.000 0.750 0.139
0.000 0.249 0.463
0.000 0.751 0.537
```



# La6ThIn2

An optimized crystal structure of La6ThIn2 (PBE-GGA, Alexandria).

Values from the calculation:
Symmetry = P-62m, No. 189
N(E_F) = 1.328 states/eV per atom
Total energy = -4.8843 eV per atom

```
La6ThIn2
1.0
5.002 0.000 0.000
0.000 8.533 0.000
0.000 -4.267 7.391
La In Th
6 2 1
Direct
0.500 0.581 0.000
0.000 0.745 0.745
0.500 0.419 0.419
0.000 0.000 0.255
0.000 0.255 0.000
0.500 0.000 0.581
0.000 0.667 0.334
0.000 0.333 0.666
0.500 0.000 0.000
```



# La2ThIn

An optimized crystal structure of La2ThIn (PBE-GGA, Alexandria).

Values from the calculation:
Symmetry = P4/mmm, No. 123
N(E_F) = 1.428 states/eV per atom
ΔE to the lowest computed polymorph = 10 meV/atom

```
La2ThIn
1.0
5.055 0.000 0.000
0.000 4.997 0.000
0.000 0.000 4.997
Th La In
1 2 1
Direct
0.500 0.500 0.500
0.000 0.000 0.500
0.000 0.500 0.000
0.500 0.000 0.000
```



# LaThIn2

An optimized crystal structure of LaThIn2 (PBE-GGA, Alexandria).

Values from the calculation:
Symmetry = Pmma, No. 51
N(E_F) = 0.862 states/eV per atom
Total energy = -4.8062 eV per atom

```
LaThIn2
1.0
-3.125 -1.022 -1.323
2.096 -5.328 -0.837
-3.517 -3.059 10.669
La Th In
2 2 4
Direct
0.500 0.750 0.122
0.500 0.250 0.878
0.500 0.750 0.619
0.500 0.250 0.381
0.000 0.250 0.132
0.000 0.750 0.372
0.000 0.250 0.628
0.000 0.750 0.868
```